No. 1
Na3PuSc2Se6: relaxed, PBE.

```
Na3PuSc2Se6
1.0
7.004 -0.003 -0.003
-3.503 6.066 -0.003
-1.170 -2.027 6.949
Na Pu Sc Se
3 1 2 6
direct
0.164 0.836 0.500
0.836 0.164 0.500
0.500 0.500 0.500
0.000 0.000 0.000
0.333 0.667 0.000
0.667 0.333 0.000
0.926 0.577 0.778
0.726 0.726 0.222
0.074 0.423 0.222
0.577 0.926 0.778
0.274 0.274 0.778
0.423 0.074 0.222
```

## Properties
Space-group type   No. 12

***

No. 2
Na4PuSc3Te8: relaxed, PBE.

```
Na4PuSc3Te8
1.0
-1.721 -5.826 -6.105
-1.948 -6.092 6.362
-4.198 7.519 0.082
Na Pu Sc Te
4 1 3 8
direct
0.500 0.000 0.000
0.500 0.000 0.500
0.000 0.000 0.000
0.000 0.000 0.500
0.000 0.500 0.000
0.500 0.500 0.000
0.500 0.500 0.500
0.000 0.500 0.500
0.248 0.725 0.977
0.248 0.725 0.497
0.260 0.281 0.521
0.728 0.725 0.977
0.272 0.275 0.023
0.740 0.719 0.479
0.752 0.275 0.503
0.752 0.275 0.023
```

## Properties
Space-group type   No. 166

***

No. 3
NaPuSc2Te4: relaxed, PBE.

```
NaPuSc2Te4
1.0
-2.634 2.134 -2.573
3.177 -3.191 -5.900
-5.784 -4.354 2.311
Na Pu Sc Te
1 1 2 4
direct
0.000 0.000 0.000
0.500 0.500 0.000
0.500 0.000 0.500
0.000 0.500 0.500
0.500 0.256 0.272
0.500 0.744 0.728
0.000 0.242 0.731
0.000 0.758 0.269
```

## Properties
Space-group type   No. 10

***

No. 4
NaPu2ScTe4: relaxed, PBE.

```
NaPu2ScTe4
1.0
4.377 0.000 0.000
0.000 7.719 0.188
0.000 -2.667 7.015
Na Pu Sc Te
1 2 1 4
direct
0.500 0.500 0.000
0.500 0.000 0.500
0.000 0.500 0.500
0.000 0.000 0.000
0.500 0.238 0.235
0.500 0.762 0.765
0.000 0.242 0.759
0.000 0.758 0.241
```

## Properties
Space-group type   No. 10

***

No. 5
Na3Pu2ScTe6: relaxed, PBE.

```
Na3Pu2ScTe6
1.0
7.640 -0.002 -0.001
-3.820 6.617 -0.001
-1.276 -2.209 7.501
Na Pu Sc Te
3 2 1 6
direct
0.170 0.830 0.500
0.830 0.170 0.500
0.500 0.500 0.500
0.334 0.666 0.000
0.666 0.334 0.000
0.000 0.000 0.000
0.924 0.604 0.771
0.757 0.757 0.229
0.076 0.396 0.229
0.604 0.924 0.771
0.243 0.243 0.771
0.396 0.076 0.229
```

## Properties
Space-group type   No. 12

***

No. 6
NaPu3Sc2Te6: relaxed, PBE.

```
NaPu3Sc2Te6
1.0
4.340 0.000 0.000
0.000 8.734 0.313
-2.170 -2.384 9.149
Na Pu Sc Te
1 3 2 6
direct
0.500 0.000 0.000
0.500 0.500 0.000
0.838 0.164 0.675
0.162 0.836 0.325
0.833 0.663 0.665
0.167 0.337 0.335
0.331 0.898 0.662
0.671 0.577 0.341
0.669 0.102 0.338
0.008 0.252 0.015
0.992 0.748 0.985
0.329 0.423 0.659
```

## Properties
Space-group type   No. 12

***

No. 7
Na3PuSc2Te6: relaxed, PBE.

```
Na3PuSc2Te6
1.0
-1.214 -3.132 6.715
-0.866 -4.064 -6.254
7.905 0.351 0.187
Na Pu Sc Te
3 1 2 6
direct
0.161 0.839 0.500
0.839 0.161 0.500
0.500 0.500 0.500
0.000 0.000 0.000
0.332 0.668 0.000
0.668 0.332 0.000
0.925 0.576 0.775
0.726 0.726 0.224
0.075 0.424 0.225
0.576 0.925 0.775
0.274 0.274 0.776
0.424 0.075 0.225
```

## Properties
Space-group type   No. 12

***

No. 8
NaPu2Sc3Te6: relaxed, PBE.

```
NaPu2Sc3Te6
1.0
4.261 0.000 0.000
0.000 8.710 0.222
-2.131 -2.605 9.074
Na Pu Sc Te
1 2 3 6
direct
0.500 0.000 0.000
0.834 0.669 0.669
0.166 0.331 0.331
0.500 0.500 0.000
0.832 0.172 0.665
0.168 0.828 0.335
0.330 0.932 0.659
0.663 0.590 0.326
0.670 0.068 0.341
0.994 0.261 0.989
0.006 0.739 0.011
0.337 0.410 0.674
```

## Properties
Space-group type   No. 12

***

No. 9
Na3Pu3ScTe8: relaxed, PBE.

```
Na3Pu3ScTe8
1.0
-2.885 -7.981 -2.378
4.344 5.022 -5.795
4.595 -3.724 6.924
Na Pu Sc Te
3 3 1 8
direct
0.000 0.000 0.000
0.000 0.500 0.000
0.500 0.500 0.000
0.500 0.000 0.500
0.500 0.500 0.500
0.000 0.500 0.500
0.000 0.000 0.500
0.255 0.510 0.266
0.745 0.490 0.734
0.764 0.529 0.276
0.236 0.471 0.724
0.764 0.012 0.276
0.236 0.988 0.724
0.247 0.012 0.276
0.753 0.988 0.724
```

## Properties
Space-group type   No. 166

***

No. 10
NaPu4Se5: relaxed, PBE.

```
NaPu4Se5
1.0
-3.575 2.105 0.125
-2.297 -4.111 3.508
6.345 6.291 6.614
Na Pu Se
1 4 5
direct
0.000 0.000 0.000
0.402 0.402 0.804
0.798 0.798 0.595
0.202 0.202 0.405
0.598 0.598 0.196
0.604 0.104 0.209
0.801 0.301 0.603
0.199 0.699 0.397
0.000 0.500 0.000
0.396 0.896 0.791
```

## Properties
Space-group type   No. 71

***

No. 11
NaPuSe3: relaxed, PBE.

```
NaPuSe3
1.0
-1.704 -6.311 -4.179
5.404 -3.221 -4.541
2.624 -5.952 0.716
Na Pu Se
2 2 6
direct
0.000 0.000 0.000
0.500 0.500 0.500
0.750 0.750 0.750
0.250 0.250 0.250
0.250 0.615 0.250
0.385 0.115 0.750
0.115 0.750 0.750
0.885 0.250 0.250
0.615 0.885 0.250
0.750 0.385 0.750
```

## Properties
Space-group type   No. 167

***

No. 12
NaPuSe2: relaxed, PBE.

```
NaPuSe2
1.0
3.592 0.000 0.000
0.000 3.592 0.000
0.000 0.000 7.417
Na Se Pu
1 2 1
direct
0.500 0.500 0.500
0.000 0.000 0.773
0.000 0.000 0.227
0.500 0.500 0.000
```

## Properties
Space-group type   No. 123

***

No. 13
NaPu2Se4: relaxed, PBE.

```
NaPu2Se4
1.0
4.057 0.000 0.935
1.921 3.574 0.935
-1.074 -0.642 13.935
Na Pu Se
1 2 4
direct
0.500 0.500 0.500
0.588 0.588 0.235
0.412 0.412 0.765
0.710 0.710 0.870
0.881 0.881 0.356
0.290 0.290 0.130
0.119 0.119 0.644
```

## Properties
Space-group type   No. 166
E above lowest polymorph   0 meV per atom

***

No. 14
NaPuSe2: relaxed, PBE.

```
NaPuSe2
1.0
4.174 0.000 0.000
2.087 3.615 0.000
2.087 1.205 7.199
Na Pu Se
1 1 2
direct
0.497 0.497 0.510
0.668 0.668 0.996
0.076 0.076 0.772
0.260 0.260 0.221
```

## Properties
Space-group type   No. 160

***

No. 15
NaPu3Se4: relaxed, PBE.

```
NaPu3Se4
1.0
4.176 0.000 0.000
0.000 7.266 -0.092
0.000 -2.378 6.866
Na Pu Se
1 3 4
direct
0.500 0.000 0.000
0.000 0.000 0.500
0.500 0.500 0.500
0.000 0.500 0.000
0.000 0.256 0.256
0.500 0.749 0.251
0.000 0.744 0.744
0.500 0.251 0.749
```

## Properties
Space-group type   No. 65

***

No. 16
NaPuSe: relaxed, PBE.

```
NaPuSe
1.0
7.992 0.000 0.000
0.000 9.989 0.000
0.000 -4.994 5.528
Na Se Pu
4 4 4
direct
0.000 0.813 0.625
0.000 0.187 0.375
0.500 0.313 0.625
0.500 0.687 0.375
0.725 0.606 0.000
0.225 0.894 0.000
0.275 0.394 0.000
0.775 0.106 0.000
0.582 0.862 0.000
0.918 0.362 0.000
0.082 0.638 0.000
0.418 0.138 0.000
```

## Properties
Space-group type   No. 64

***

No. 17
Na3PuSe4: relaxed, PBE.

```
Na3PuSe4
1.0
7.215 0.003 0.000
-2.526 6.905 0.000
0.000 0.000 8.470
Na Se Pu
6 8 2
direct
0.750 0.000 0.381
0.250 0.000 0.619
0.750 0.500 0.614
0.750 0.500 0.129
0.250 0.500 0.386
0.250 0.500 0.871
0.977 0.239 0.646
0.502 0.221 0.892
0.477 0.239 0.354
0.002 0.221 0.108
0.998 0.779 0.892
0.523 0.761 0.646
0.498 0.779 0.108
0.023 0.761 0.354
0.750 0.000 0.871
0.250 0.000 0.129
```

## Properties
Space-group type   No. 13
E above lowest polymorph   0 meV per atom

***

No. 18
NaPu2Se4: relaxed, PBE.

```
NaPu2Se4
1.0
4.132 0.000 0.000
-2.066 6.751 0.000
0.000 0.000 13.985
Na Pu Se
2 4 8
direct
0.608 0.215 0.750
0.392 0.785 0.250
0.135 0.269 0.432
0.865 0.731 0.932
0.135 0.269 0.068
0.865 0.731 0.568
0.770 0.539 0.114
0.770 0.539 0.386
0.230 0.461 0.886
0.230 0.461 0.614
0.947 0.893 0.750
0.053 0.107 0.250
0.500 0.000 0.000
0.500 0.000 0.500
```

## Properties
Space-group type   No. 63
E above lowest polymorph   7 meV per atom

***

No. 19
Na5PuSe4: relaxed, PBE.

```
Na5PuSe4
1.0
-2.894 -0.420 -3.355
5.897 0.708 -5.175
-0.455 -8.101 4.359
Na Pu Se
5 1 4
direct
0.824 0.593 0.648
0.824 0.054 0.648
0.176 0.946 0.352
0.500 0.500 0.000
0.176 0.407 0.352
0.500 0.000 0.000
0.308 0.808 0.616
0.000 0.753 0.000
0.692 0.192 0.384
0.000 0.247 0.000
```

## Properties
Space-group type   No. 12

***

No. 20
NaPu4Se6: relaxed, PBE.

```
NaPu4Se6
1.0
-2.515 3.177 -0.916
-4.206 -5.722 1.122
-1.257 4.996 20.773
Na Pu Se
2 8 12
direct
0.659 0.319 0.250
0.341 0.681 0.750
0.864 0.729 0.543
0.406 0.811 0.134
0.136 0.271 0.457
0.594 0.189 0.866
0.864 0.729 0.957
0.136 0.271 0.043
0.594 0.189 0.634
0.406 0.811 0.366
0.500 0.000 0.000
0.500 0.000 0.500
0.040 0.080 0.338
0.960 0.920 0.662
0.960 0.920 0.838
0.040 0.080 0.162
0.772 0.545 0.419
0.228 0.455 0.581
0.228 0.455 0.919
0.772 0.545 0.081
0.316 0.631 0.250
0.684 0.369 0.750
```

## Properties
Space-group type   No. 63

***

No. 21
NaPuSe2: relaxed, PBE.

```
NaPuSe2
1.0
4.198 0.000 0.000
0.000 5.832 0.000
0.000 0.000 8.657
Na Pu Se
2 2 4
direct
0.000 0.500 0.887
0.500 0.000 0.113
0.500 0.000 0.634
0.000 0.500 0.366
0.000 0.000 0.856
0.000 0.000 0.397
0.500 0.500 0.603
0.500 0.500 0.144
```

## Properties
Space-group type   No. 59

***

Here are the calculated energy relative to the elements, uncorrected numbers, same order: -1.505 -1.136 -1.140 -1.060 -1.075 -1.094 -1.121 -1.128 -1.020 -1.443 -0.689 -1.231 -1.310 -1.386 -1.427 -0.480 -1.110 -1.303 -1.138 -1.374 -1.404 (eV per atom).